*w*
Here is a geometry-optimized TlCu3N structure from the Alexandria database. Energies are from GGA-PBE.

```
TlCu3N
1.0
4.979 0.000 0.000
0.000 4.979 0.000
0.000 0.000 4.979
Tl Cu N
1 3 1
Cartesian
0.000 0.000 0.000 Tl
0.000 0.000 2.489 Cu
0.000 2.489 0.000 Cu
2.489 0.000 0.000 Cu
2.489 2.489 2.489 N
```

- Volume: 24.7 Å³/atom
- Calculated density: 5.5 g/cm3
- M_tot: 2.60 μB per cell

---

*x*
Here is a geometry-optimized TlCu3N structure from the Alexandria database. Energies are from GGA-PBE.

```
TlCu3N
1.0
4.102 0.000 0.000
0.000 4.102 0.000
0.000 0.000 4.102
Tl Cu N
1 3 1
Cartesian
0.000 0.000 0.000 Tl
0.000 2.051 2.051 Cu
2.051 0.000 2.051 Cu
2.051 2.051 0.000 Cu
2.051 2.051 2.051 N
```

- Volume: 13.8 Å³/atom
- Calculated density: 9.8 g/cm3
- M_tot: 0.00 μB per cell

---

The structure with the most favorable energy is *x*; the runner-up is 1.556 eV/atom above it.

---

*w*
Here is a geometry-optimized VCuN structure from the Alexandria database. Energies are from GGA-PBE.

```
VCuN
1.0
2.797 0.000 0.000
0.000 2.797 0.000
0.000 0.000 8.917
V Cu N
2 2 2
Cartesian
0.699 0.699 0.947 V
2.098 2.098 7.971 V
0.699 0.699 3.706 Cu
2.098 2.098 5.211 Cu
0.699 0.699 7.801 N
2.098 2.098 1.116 N
```

- Volume: 11.6 Å³/atom
- Calculated density: 6.1 g/cm3
- M_tot: 0.00 μB per cell

---

*x*
Here is a geometry-optimized VCuN structure from the Alexandria database. Energies are from GGA-PBE.

```
VCuN
1.0
2.806 0.000 0.000
0.000 2.806 0.000
0.000 0.000 4.049
V Cu N
1 1 1
Cartesian
0.000 0.000 0.000 V
1.403 1.403 2.024 Cu
1.403 1.403 0.000 N
```

- Volume: 10.6 Å³/atom
- Calculated density: 6.7 g/cm3
- M_tot: 0.00 μB per cell

---

The structure with the most favorable energy is *w*; the runner-up is 0.009 eV/atom above it.

---

*w*
Here is a geometry-optimized CuWN2 structure from the Alexandria database. Energies are from GGA-PBE.

```
CuWN2
1.0
2.983 0.000 0.000
-1.491 2.583 0.000
0.000 0.000 18.278
Cu W N
3 3 6
Cartesian
0.000 0.000 0.000 Cu
0.000 1.722 12.185 Cu
1.491 0.861 6.093 Cu
0.000 0.000 9.139 W
0.000 1.722 3.046 W
1.491 0.861 15.232 W
0.000 0.000 1.871 N
0.000 0.000 16.407 N
0.000 1.722 10.314 N
0.000 1.722 14.057 N
1.491 0.861 4.221 N
1.491 0.861 7.964 N
```

- Volume: 11.7 Å³/atom
- Calculated density: 9.7 g/cm3
- M_tot: 0.00 μB per cell

---

*x*
Here is a geometry-optimized CuWN2 structure from the Alexandria database. Energies are from GGA-PBE.

```
CuWN2
1.0
5.297 0.000 0.000
0.000 5.297 0.000
0.000 0.000 5.297
Cu W N
4 4 8
Cartesian
0.000 0.000 0.000 Cu
0.000 2.648 2.648 Cu
2.648 0.000 2.648 Cu
2.648 2.648 0.000 Cu
0.000 0.000 2.648 W
0.000 2.648 0.000 W
2.648 0.000 0.000 W
2.648 2.648 2.648 W
1.324 1.324 1.324 N
1.324 1.324 3.973 N
1.324 3.973 1.324 N
1.324 3.973 3.973 N
3.973 1.324 1.324 N
3.973 1.324 3.973 N
3.973 3.973 1.324 N
3.973 3.973 3.973 N
```

- Volume: 9.3 Å³/atom
- Calculated density: 12.3 g/cm3
- M_tot: 0.00 μB per cell

---

The structure with the most favorable energy is *w*; the runner-up is 0.863 eV/atom above it.

---

*w*
Here is a geometry-optimized CuW2N structure from the Alexandria database. Energies are from GGA-PBE.

```
CuW2N
1.0
4.712 0.000 0.000
0.000 4.712 0.000
0.000 0.000 11.429
Cu W N
4 8 4
Cartesian
0.000 0.000 0.000 Cu
0.000 2.356 2.857 Cu
2.356 0.000 8.571 Cu
2.356 2.356 5.714 Cu
0.714 1.178 7.143 W
1.178 3.069 10.000 W
1.178 3.998 4.286 W
1.642 1.178 1.429 W
3.069 3.534 1.429 W
3.534 0.714 4.286 W
3.534 1.642 10.000 W
3.998 3.534 7.143 W
0.000 0.000 5.714 N
0.000 2.356 8.571 N
2.356 0.000 2.857 N
2.356 2.356 0.000 N
```

- Volume: 15.9 Å³/atom
- Calculated density: 11.7 g/cm3
- M_tot: 0.00 μB per cell

---

*x*
Here is a geometry-optimized CuW2N structure from the Alexandria database. Energies are from GGA-PBE.

```
CuW2N
1.0
2.768 0.000 0.000
-1.384 2.398 0.000
0.000 0.000 24.645
Cu W N
3 6 3
Cartesian
0.000 0.000 0.000 Cu
0.000 1.598 16.430 Cu
1.384 0.799 8.215 Cu
0.000 0.000 2.631 W
0.000 0.000 22.015 W
0.000 1.598 13.800 W
0.000 1.598 19.061 W
1.384 0.799 5.584 W
1.384 0.799 10.846 W
0.000 0.000 12.323 N
0.000 1.598 4.108 N
1.384 0.799 20.538 N
```

- Volume: 13.6 Å³/atom
- Calculated density: 13.6 g/cm3
- M_tot: 0.00 μB per cell

---

The structure with the most favorable energy is *x*; the runner-up is 0.270 eV/atom above it.

---

*w*
Here is a geometry-optimized Cu2WN2 structure from the Alexandria database. Energies are from GGA-PBE.

```
Cu2WN2
1.0
6.237 0.000 0.000
0.000 6.237 0.000
0.000 0.000 2.724
Cu W N
4 2 4
Cartesian
0.788 2.330 0.000 Cu
2.330 5.449 0.000 Cu
3.907 0.788 0.000 Cu
5.449 3.907 0.000 Cu
0.000 0.000 0.000 W
3.118 3.118 0.000 W
1.215 4.333 1.362 N
1.904 1.215 1.362 N
4.333 5.022 1.362 N
5.022 1.904 1.362 N
```

- Volume: 10.6 Å³/atom
- Calculated density: 10.6 g/cm3
- M_tot: 0.00 μB per cell

---

*x*
Here is a geometry-optimized Cu2WN2 structure from the Alexandria database. Energies are from GGA-PBE.

```
Cu2WN2
1.0
3.774 0.000 0.000
0.000 3.774 0.000
0.000 0.000 7.443
Cu W N
4 2 4
Cartesian
0.000 0.000 1.129 Cu
0.000 0.000 6.314 Cu
1.887 1.887 2.593 Cu
1.887 1.887 4.851 Cu
0.000 0.000 3.722 W
1.887 1.887 0.000 W
0.000 1.887 1.861 N
0.000 1.887 5.582 N
1.887 0.000 1.861 N
1.887 0.000 5.582 N
```

- Volume: 10.6 Å³/atom
- Calculated density: 10.6 g/cm3
- M_tot: 1.06 μB per cell

---

The structure with the most favorable energy is *x*; the runner-up is 0.098 eV/atom above it.

---

*w*
Here is a geometry-optimized ZrCuN2 structure from the Alexandria database. Energies are from GGA-PBE.

```
ZrCuN2
1.0
4.566 0.000 0.000
0.000 4.566 0.000
0.000 0.000 10.239
Zr Cu N
4 4 8
Cartesian
0.000 0.000 0.000 Zr
0.000 2.283 2.560 Zr
2.283 0.000 7.679 Zr
2.283 2.283 5.119 Zr
0.000 0.000 5.119 Cu
0.000 2.283 7.679 Cu
2.283 0.000 2.560 Cu
2.283 2.283 0.000 Cu
1.082 1.141 6.399 N
1.141 3.365 8.959 N
1.141 3.483 3.840 N
1.200 1.141 1.280 N
3.365 3.424 1.280 N
3.424 1.082 3.840 N
3.424 1.200 8.959 N
3.483 3.424 6.399 N
```

- Volume: 13.3 Å³/atom
- Calculated density: 5.7 g/cm3
- M_tot: 0.00 μB per cell

---

*x*
Here is a geometry-optimized ZrCuN2 structure from the Alexandria database. Energies are from GGA-PBE.

```
ZrCuN2
1.0
5.496 0.000 0.000
0.000 5.496 0.000
0.000 0.000 5.496
Zr Cu N
4 4 8
Cartesian
0.000 0.000 0.000 Zr
0.000 2.748 2.748 Zr
2.748 0.000 2.748 Zr
2.748 2.748 0.000 Zr
0.000 0.000 2.748 Cu
0.000 2.748 0.000 Cu
2.748 0.000 0.000 Cu
2.748 2.748 2.748 Cu
1.374 1.374 1.374 N
1.374 1.374 4.122 N
1.374 4.122 1.374 N
1.374 4.122 4.122 N
4.122 1.374 1.374 N
4.122 1.374 4.122 N
4.122 4.122 1.374 N
4.122 4.122 4.122 N
```

- Volume: 10.4 Å³/atom
- Calculated density: 7.3 g/cm3
- M_tot: 0.00 μB per cell

---

The structure with the most favorable energy is *w*; the runner-up is 0.396 eV/atom above it.